(1)
# ZrMoPt

A geometry-optimized ZrMoPt structure (GGA-PBEsol, Alexandria via LeMat-Bulk).

Output
density of states at the Fermi level	3.8	states/eV per cell
uncorrected energy	-27.9	eV per cell

Cell and atoms, written as POSCAR:
```
ZrMoPt
1.0
2.842 0.000 0.000
-1.421 2.461 0.000
0.000 0.000 7.242
Zr Pt Mo
1 1 1
direct
0.667 0.333 0.341
0.333 0.667 0.676
0.000 0.000 0.983
```

(2)
# BaSr2Sb

A geometry-optimized BaSr2Sb structure (GGA-PBEsol, Alexandria via LeMat-Bulk).

Output
density of states at the Fermi level	3.2	states/eV per cell
E_form (uncorrected)	-0.518	eV per atom
uncorrected energy	-12.5	eV per cell

Cell and atoms, written as POSCAR:
```
BaSr2Sb
1.0
4.464 0.000 0.000
0.000 4.459 0.215
0.000 -0.414 8.261
Sr Ba Sb
2 1 1
direct
0.500 0.500 0.224
0.000 0.999 0.949
0.000 0.001 0.552
0.500 0.500 0.775
```

(3)
# Sb2IrIO

A geometry-optimized Sb2IrIO structure (GGA-PBEsol, Alexandria via LeMat-Bulk).

Output
density of states at the Fermi level	2.9	states/eV per cell
E_form (uncorrected)	0.585	eV per atom
uncorrected energy	-23.0	eV per cell

Cell and atoms, written as POSCAR:
```
Sb2IrIO
1.0
4.504 0.000 0.000
0.000 4.504 0.000
0.000 0.000 4.943
O Sb I Ir
1 2 1 1
direct
0.000 0.000 0.000
0.500 0.000 0.000
0.000 0.500 0.000
0.000 0.000 0.500
0.500 0.500 0.500
```

(4)
# AgMoRu2

A geometry-optimized AgMoRu2 structure (GGA-PBEsol, Alexandria via LeMat-Bulk).

Output
density of states at the Fermi level	5.4	states/eV per cell
ΔE to the lowest computed polymorph	167	meV/atom
uncorrected energy	-33.4	eV per cell

Cell and atoms, written as POSCAR:
```
AgMoRu2
1.0
2.643 0.008 0.000
-1.124 2.392 0.000
0.000 0.000 9.360
Ru Ag Mo
2 1 1
direct
0.000 0.000 0.998
0.500 0.500 0.763
0.000 0.000 0.503
0.500 0.500 0.236
```

(5)
# KTaCu2Se4

A geometry-optimized KTaCu2Se4 structure (GGA-PBEsol, Alexandria via LeMat-Bulk).

Output
density of states at the Fermi level	0.0	states/eV per cell
E_form (uncorrected)	-0.697	eV per atom
uncorrected energy	-86.7	eV per cell

Cell and atoms, written as POSCAR:
```
KTaCu2Se4
1.0
5.617 0.000 0.000
0.000 7.597 0.000
-2.808 0.000 9.381
Se Cu Ta K
8 4 2 2
direct
0.462 0.750 0.427
0.644 0.990 0.784
0.252 0.750 0.005
0.859 0.490 0.216
0.644 0.510 0.784
0.036 0.250 0.573
0.859 0.010 0.216
0.247 0.250 0.995
0.108 0.750 0.215
0.517 0.000 0.000
0.893 0.250 0.785
0.517 0.500 0.000
0.391 0.250 0.781
0.610 0.750 0.219
0.444 0.250 0.367
0.076 0.750 0.633
```

(6)
# Li3Fe3TeO8

A geometry-optimized Li3Fe3TeO8 structure (GGA-PBEsol, Alexandria via LeMat-Bulk).

Output
density of states at the Fermi level	6.8	states/eV per cell
E_form (uncorrected)	-1.375	eV per atom
uncorrected energy	-98.9	eV per cell

Cell and atoms, written as POSCAR:
```
Li3Fe3TeO8
1.0
5.997 0.000 0.044
2.959 5.217 0.044
2.923 1.702 4.952
Fe O Li Te
3 8 3 1
direct
0.500 0.500 0.500
0.000 0.500 0.000
0.500 0.000 0.000
0.741 0.741 0.240
0.259 0.259 0.760
0.230 0.230 0.267
0.767 0.230 0.730
0.770 0.233 0.270
0.230 0.767 0.730
0.233 0.770 0.270
0.770 0.770 0.733
0.500 0.000 0.500
0.000 0.000 0.000
0.000 0.500 0.500
0.000 0.000 0.500
```

(7)
# Sc3Tc

A geometry-optimized Sc3Tc structure (GGA-PBEsol, Alexandria via LeMat-Bulk).

Output
density of states at the Fermi level	5.4	states/eV per cell
uncorrected energy	-31.5	eV per cell

Cell and atoms, written as POSCAR:
```
Sc3Tc
1.0
3.352 0.000 0.000
0.000 4.869 0.000
-1.676 -2.434 4.853
Sc Tc
3 1
direct
0.292 0.292 0.585
0.708 0.708 0.415
0.500 0.000 0.000
0.000 0.500 0.000
```

(8)
# K3AgHg

A geometry-optimized K3AgHg structure (GGA-PBEsol, Alexandria via LeMat-Bulk).

Output
density of states at the Fermi level	5.1	states/eV per cell
uncorrected energy	-6.4	eV per cell

Cell and atoms, written as POSCAR:
```
K3AgHg
1.0
6.282 0.000 0.000
0.000 6.282 0.000
0.000 0.000 6.282
Hg K Ag
1 3 1
direct
0.500 0.500 0.500
0.000 0.000 0.500
0.000 0.500 0.000
0.500 0.000 0.000
0.000 0.000 0.000
```

(9)
# Nd2Sn2Ru

A geometry-optimized Nd2Sn2Ru structure (GGA-PBEsol, Alexandria via LeMat-Bulk).

Output
density of states at the Fermi level	8.3	states/eV per cell
uncorrected energy	-64.1	eV per cell

Cell and atoms, written as POSCAR:
```
Nd2Sn2Ru
1.0
4.446 0.000 0.000
2.223 5.605 0.004
2.223 0.837 10.021
Nd Sn Ru
4 4 2
direct
0.189 0.247 0.374
0.996 0.838 0.170
0.811 0.753 0.626
0.004 0.162 0.830
0.661 0.729 0.949
0.339 0.271 0.051
0.525 0.333 0.618
0.475 0.667 0.382
0.281 0.609 0.829
0.719 0.391 0.171
```

(10)
# KCoNi2

A geometry-optimized KCoNi2 structure (GGA-PBEsol, Alexandria via LeMat-Bulk).

Output
density of states at the Fermi level	5.2	states/eV per cell
ΔE to the lowest computed polymorph	91	meV/atom
uncorrected energy	-18.5	eV per cell

Cell and atoms, written as POSCAR:
```
KCoNi2
1.0
-0.074 -1.896 1.739
3.659 2.037 0.472
-3.317 3.908 4.121
K Ni Co
1 2 1
direct
0.748 0.496 0.245
0.978 0.956 0.898
0.252 0.504 0.739
0.522 0.044 0.618
```

(11)
# KRh3Cl

A geometry-optimized KRh3Cl structure (GGA-PBEsol, Alexandria via LeMat-Bulk).

Output
density of states at the Fermi level	10.3	states/eV per cell
E_form (uncorrected)	2.471	eV per atom
uncorrected energy	-15.2	eV per cell

Cell and atoms, written as POSCAR:
```
KRh3Cl
1.0
-1.017 -1.598 -4.351
4.355 1.195 -1.457
1.587 -4.305 1.210
Cl Rh K
1 3 1
direct
0.500 0.500 0.500
0.000 0.000 0.500
0.000 0.500 0.000
0.500 0.000 0.000
0.000 0.000 0.000
```

(12)
# LiRe2AsPb

A geometry-optimized LiRe2AsPb structure (GGA-PBEsol, Alexandria via LeMat-Bulk).

Output
density of states at the Fermi level	5.6	states/eV per cell
uncorrected energy	-30.6	eV per cell

Cell and atoms, written as POSCAR:
```
LiRe2AsPb
1.0
3.955 0.000 0.000
0.000 4.477 0.000
0.000 0.000 4.477
Li As Re Pb
1 1 2 1
direct
0.000 0.000 0.000
0.500 0.000 0.000
0.000 0.500 0.000
0.000 0.000 0.500
0.500 0.500 0.500
```

(13)
# MnIn2Rh

A geometry-optimized MnIn2Rh structure (GGA-PBEsol, Alexandria via LeMat-Bulk).

Output
density of states at the Fermi level	2.2	states/eV per cell
uncorrected energy	-23.9	eV per cell

Cell and atoms, written as POSCAR:
```
MnIn2Rh
1.0
-0.704 -1.283 2.684
4.246 -1.851 0.229
0.501 5.143 0.850
Rh In Mn
1 2 1
direct
0.767 0.226 0.533
0.016 0.051 0.033
0.236 0.704 0.472
0.481 0.520 0.962
```

(14)
# Y2Cr3O12

A geometry-optimized Y2Cr3O12 structure (GGA-PBEsol, Alexandria via LeMat-Bulk).

Output
density of states at the Fermi level	0.0	states/eV per cell
ΔE to the lowest computed polymorph	20	meV/atom
E_form (uncorrected)	-2.312	eV per atom
uncorrected energy	-293.3	eV per cell

Cell and atoms, written as POSCAR:
```
Y2Cr3O12
1.0
-0.458 3.223 3.808
-1.800 -3.129 5.677
12.900 -0.689 5.356
O Cr Y
24 6 4
direct
0.906 0.188 0.241
0.833 0.188 0.680
0.306 0.309 0.272
0.198 0.852 0.118
0.867 0.516 0.909
0.133 0.484 0.091
0.255 0.139 0.969
0.094 0.812 0.759
0.948 0.825 0.556
0.335 0.458 0.441
0.052 0.175 0.444
0.745 0.861 0.031
0.293 0.721 0.940
0.825 0.571 0.370
0.707 0.279 0.060
0.665 0.542 0.559
0.694 0.691 0.728
0.325 0.101 0.769
0.675 0.899 0.231
0.167 0.812 0.320
0.175 0.429 0.630
0.363 0.974 0.591
0.802 0.148 0.882
0.637 0.026 0.409
0.869 0.621 0.621
0.151 0.018 0.702
0.849 0.982 0.298
0.131 0.379 0.379
0.905 0.275 0.953
0.095 0.725 0.047
0.380 0.795 0.453
0.638 0.871 0.873
0.362 0.129 0.127
0.620 0.205 0.547
```

(15)
# Li2TlTc

A geometry-optimized Li2TlTc structure (GGA-PBEsol, Alexandria via LeMat-Bulk).

Output
density of states at the Fermi level	1.7	states/eV per cell
uncorrected energy	-16.7	eV per cell

Cell and atoms, written as POSCAR:
```
Li2TlTc
1.0
-0.549 2.080 1.820
-4.175 -1.973 0.994
2.130 -2.761 3.467
Tc Li Tl
1 2 1
direct
0.500 0.500 0.000
0.780 0.000 0.784
0.220 0.000 0.216
0.000 0.500 0.500
```

(16)
# KLiPb2

A geometry-optimized KLiPb2 structure (GGA-PBEsol, Alexandria via LeMat-Bulk).

Output
density of states at the Fermi level	1.7	states/eV per cell
ΔE to the lowest computed polymorph	119	meV/atom
uncorrected energy	-11.5	eV per cell

Cell and atoms, written as POSCAR:
```
KLiPb2
1.0
3.511 0.000 0.000
0.000 5.862 0.000
-1.755 -2.931 5.573
Li Pb K
1 2 1
direct
0.500 0.000 0.000
0.215 0.215 0.430
0.785 0.785 0.570
0.000 0.500 0.000
```

(17)
# ZrTl2Pt

A geometry-optimized ZrTl2Pt structure (GGA-PBEsol, Alexandria via LeMat-Bulk).

Output
density of states at the Fermi level	3.0	states/eV per cell
ΔE to the lowest computed polymorph	207	meV/atom
uncorrected energy	-21.2	eV per cell

Cell and atoms, written as POSCAR:
```
ZrTl2Pt
1.0
3.057 0.000 0.000
0.000 5.455 0.003
0.000 -2.269 4.961
Zr Tl Pt
1 2 1
direct
0.500 0.000 0.000
0.000 0.500 0.000
0.000 0.000 0.500
0.500 0.500 0.500
```

(18)
# LaCdAg2

A geometry-optimized LaCdAg2 structure (GGA-PBEsol, Alexandria via LeMat-Bulk).

Output
density of states at the Fermi level	2.6	states/eV per cell
uncorrected energy	-13.8	eV per cell

Cell and atoms, written as POSCAR:
```
LaCdAg2
1.0
-0.822 -0.325 3.276
-0.495 -3.326 -0.454
7.210 -1.301 1.680
Ag Cd La
2 1 1
direct
0.000 0.000 0.791
0.000 0.000 0.209
0.500 0.500 0.000
0.500 0.500 0.500
```

(19)
# Be4FeRu

A geometry-optimized Be4FeRu structure (GGA-PBEsol, Alexandria via LeMat-Bulk).

Output
density of states at the Fermi level	3.0	states/eV per cell
uncorrected energy	-36.9	eV per cell

Cell and atoms, written as POSCAR:
```
Be4FeRu
1.0
-2.611 2.798 1.772
-2.517 -1.179 3.172
0.742 1.394 3.910
Ru Be Fe
1 4 1
direct
0.000 0.000 0.000
0.375 0.375 0.375
0.375 0.375 0.874
0.874 0.375 0.375
0.375 0.874 0.375
0.750 0.750 0.750
```

(20)
# TcMo2As

A geometry-optimized TcMo2As structure (GGA-PBEsol, Alexandria via LeMat-Bulk).

Output
density of states at the Fermi level	3.5	states/eV per cell
uncorrected energy	-39.2	eV per cell

Cell and atoms, written as POSCAR:
```
TcMo2As
1.0
-0.072 2.617 1.161
-1.950 1.904 -0.880
-6.038 -1.259 5.994
Mo Tc As
2 1 1
direct
0.753 0.753 0.742
0.997 0.997 0.008
0.502 0.502 0.494
0.248 0.248 0.255
```

(21)
# SrCa2

A geometry-optimized SrCa2 structure (GGA-PBEsol, Alexandria via LeMat-Bulk).

Output
density of states at the Fermi level	6.5	states/eV per cell
ΔE to the lowest computed polymorph	5	meV/atom
uncorrected energy	-12.1	eV per cell

Cell and atoms, written as POSCAR:
```
SrCa2
1.0
3.960 0.000 0.000
0.000 6.527 0.000
-1.980 0.000 10.263
Ca Sr
4 2
direct
0.443 0.750 0.886
0.557 0.250 0.114
0.779 0.750 0.558
0.221 0.250 0.442
0.111 0.750 0.221
0.889 0.250 0.779
```

(22)
# Tl3GaHg

A geometry-optimized Tl3GaHg structure (GGA-PBEsol, Alexandria via LeMat-Bulk).

Output
density of states at the Fermi level	3.8	states/eV per cell
uncorrected energy	-9.3	eV per cell

Cell and atoms, written as POSCAR:
```
Tl3GaHg
1.0
5.569 0.000 0.000
0.000 5.569 0.000
0.000 0.000 5.569
Ga Tl Hg
1 3 1
direct
0.500 0.500 0.500
0.500 0.000 0.000
0.000 0.000 0.500
0.000 0.500 0.000
0.000 0.000 0.000
```

(23)
# SbSe2Cl

A geometry-optimized SbSe2Cl structure (GGA-PBEsol, Alexandria via LeMat-Bulk).

Output
density of states at the Fermi level	0.0	states/eV per cell
ΔE to the lowest computed polymorph	0	meV/atom
E_form (uncorrected)	-0.205	eV per atom
uncorrected energy	-15.1	eV per cell

Cell and atoms, written as POSCAR:
```
SbSe2Cl
1.0
3.888 0.000 0.000
-1.944 4.897 -0.094
0.000 -2.676 6.406
Cl Se Sb
1 2 1
direct
0.578 0.156 0.532
0.953 0.906 0.028
0.740 0.479 0.119
0.229 0.459 0.820
```

(24)
# CdCoOs2

A geometry-optimized CdCoOs2 structure (GGA-PBEsol, Alexandria via LeMat-Bulk).

Output
density of states at the Fermi level	6.7	states/eV per cell
uncorrected energy	-29.6	eV per cell

Cell and atoms, written as POSCAR:
```
CdCoOs2
1.0
-2.207 -0.947 1.637
2.751 -0.473 3.434
-0.852 4.157 1.255
Os Co Cd
2 1 1
direct
0.000 0.500 0.000
0.000 0.000 0.500
0.500 0.000 0.000
0.500 0.500 0.500
```

(25)
# LiSnBiN2

A geometry-optimized LiSnBiN2 structure (GGA-PBEsol, Alexandria via LeMat-Bulk).

Output
density of states at the Fermi level	2.1	states/eV per cell
E_form (uncorrected)	1.340	eV per atom
uncorrected energy	-20.9	eV per cell

Cell and atoms, written as POSCAR:
```
LiSnBiN2
1.0
-1.592 1.860 3.672
-3.879 -1.995 -0.671
1.516 -3.822 2.593
N Bi Li Sn
2 1 1 1
direct
0.500 0.000 0.000
0.000 0.500 0.000
0.000 0.000 0.000
0.000 0.000 0.500
0.500 0.500 0.500
```

(26)
# ZnSiCl2

A geometry-optimized ZnSiCl2 structure (GGA-PBEsol, Alexandria via LeMat-Bulk).

Output
density of states at the Fermi level	0.5	states/eV per cell
ΔE to the lowest computed polymorph	253	meV/atom
E_form (uncorrected)	0.256	eV per atom
uncorrected energy	-10.3	eV per cell

Cell and atoms, written as POSCAR:
```
ZnSiCl2
1.0
4.740 0.000 0.000
2.370 4.105 0.000
2.370 1.368 3.870
Cl Si Zn
2 1 1
direct
0.000 0.000 0.000
0.750 0.750 0.750
0.500 0.500 0.500
0.250 0.250 0.250
```